Compound: InReHg3Se4
Source: the Open Quantum Materials Database
Functional: PBE
Structure: optimized geometry

Cell lengths 7.408, 7.408, 7.408 Å; angles 90.00, 90.00, 90.00 degrees
Space group P-43m (No. 215)
One atom of each set of equivalent atoms:
In (0.000, 0.000, 0.000)
Re (0.500, 0.500, 0.500)
Hg (0.000, 0.500, 0.500)
Se (0.320, 0.320, 0.320)

Output
Total magnetization (Bohr magnetons per cell): 0.0
Calculated total energy (eV per atom): -3.23